[1]
Density functional theory data (PBE) for Pm2Nd4Sn3N2 after structural relaxation.

Calculated values
**Crystal system**: tetragonal
**Volume**: 27.99 A^3/atom
**Total DFT energy (no corrections)**: -67.50 eV/cell
**Space group**: I4/mmm

POSCAR file:
```
Pm2Nd4Sn3N2
1.0
4.8812 0.0000 0.0000
0.0000 4.8812 0.0000
-2.4406 -2.4406 12.9227
Sn Nd Pm N
3 4 2 2
direct
0.0000 0.0000 0.0000
0.1774 0.1774 0.3547
0.8226 0.8226 0.6453
0.9155 0.4155 0.8311
0.5845 0.0845 0.1689
0.0845 0.5845 0.1689
0.4155 0.9155 0.8311
0.3065 0.3065 0.6131
0.6935 0.6935 0.3869
0.3956 0.3956 0.7912
0.6044 0.6044 0.2088
```

[2]
Density functional theory data (PBE) for Pm2NdSnN after structural relaxation.

Calculated values
**Crystal system**: tetragonal
**Volume**: 24.72 A^3/atom
**Total DFT energy (no corrections)**: -31.51 eV/cell
**Space group**: P4/mmm

POSCAR file:
```
Pm2NdSnN
1.0
-2.5120 0.5167 -4.3057
-4.0014 -2.0743 2.0855
-1.5671 4.4831 1.4523
N Pm Nd Sn
1 2 1 1
direct
0.0000 0.0000 0.0000
0.0000 0.0000 0.5000
0.0000 0.5000 0.0000
0.5000 0.0000 0.0000
0.5000 0.5000 0.5000
```

[3]
Density functional theory data (PBE) for Pm2NdTaN4 after structural relaxation.

Calculated values
**Crystal system**: orthorhombic
**Volume**: 14.78 A^3/atom
**Total DFT energy (no corrections)**: -139.42 eV/cell
**Space group**: Imma

POSCAR file:
```
Pm2NdTaN4
1.0
6.9398 0.0081 -0.0825
0.0033 6.9397 -0.0824
-3.4802 -3.4825 4.9944
Pm N Nd Ta
4 8 2 2
direct
0.0000 0.0000 0.5000
0.5000 0.5000 0.0000
0.5000 0.0000 0.0000
0.5000 0.0000 0.5000
0.7758 0.2203 0.9981
0.7203 0.2758 0.4981
0.2797 0.7242 0.5019
0.2242 0.7797 0.0019
0.7492 0.7509 0.9653
0.7491 0.7508 0.5347
0.2508 0.2491 0.0347
0.2509 0.2492 0.4653
0.0000 0.5000 0.5000
0.0000 0.5000 0.0000
0.0000 0.0000 0.0000
0.5000 0.5000 0.5000
```

[4]
Density functional theory data (PBE) for Pm3Nd2TaN6 after structural relaxation.

Calculated values
**Crystal system**: monoclinic
**Volume**: 15.43 A^3/atom
**Total DFT energy (no corrections)**: -101.83 eV/cell
**Space group**: C2/m

POSCAR file:
```
Pm3Nd2TaN6
1.0
-0.6851 -3.5398 -4.9376
4.2294 -1.3886 4.1908
-5.0077 -1.5453 3.0602
Nd N Ta Pm
2 6 1 3
direct
0.3331 0.6669 0.0000
0.6669 0.3331 0.0000
0.3714 0.0757 0.2263
0.2210 0.2210 0.7662
0.9243 0.6286 0.7737
0.0757 0.3714 0.2263
0.7790 0.7790 0.2338
0.6286 0.9243 0.7737
0.0000 0.0000 0.0000
0.5000 0.5000 0.5000
0.8357 0.1643 0.5000
0.1643 0.8357 0.5000
```

Record-wise energy relative to the elements, uncorrected values, in eV/atom: -0.933, -0.982, -1.286, -1.353